First-principles (PBE) data for a geometry-optimized Cs2NdGaO4 structure, as listed in Alexandria via LeMat-Bulk.

Cell lengths 5.7380, 12.9989, 24.1565 Å; angles 90.00, 90.00, 90.00 degrees
Last column: nearest neighbours and their distance in Å.
Space group Fddd (No. 70, origin choice 2)
Unique sites:
Cs 0.1250 0.1250 0.3082  4 O 3.34-3.44
Nd 0.1250 0.1250 0.1250  4 O 2.24
Ga 0.1250 0.1250 0.6250  4 O 1.91
O 0.0835 0.2875 0.8353  1 Ga 1.91

Output
The final energy comes out at -5.53 eV/atom.

=====

First-principles (PBE) data for a geometry-optimized ZnIr2Rh2 structure, as listed in Alexandria via LeMat-Bulk.

Cell lengths 2.7245, 4.3479, 12.5267 Å; angles 90.00, 90.00, 90.00 degrees
Last column: nearest neighbours and their distance in Å.
Space group Immm (No. 71)
Unique sites:
Zn 0.0000 0.0000 0.0000  2 Zn 2.72, 8 Rh 2.85, 4 Ir 3.03
Ir 0.0000 0.5000 0.2839  4 Rh 2.63-2.69, 6 Ir 2.70-2.72
Rh 0.0000 0.0000 0.4017  3 Rh 2.46-2.72, 4 Ir 2.63-2.69

Output
The final energy comes out at -6.70 eV/atom. For the polymorph energy (0 for the lowest one), the calculation gives 0 meV per atom.

=====

First-principles (PBE) data for a geometry-optimized Nb11Pt4Rh9 structure, as listed in Alexandria via LeMat-Bulk.

Cell lengths 16.0439, 16.9732, 2.8540 Å; angles 90.00, 90.00, 90.00 degrees
Last column: nearest neighbours and their distance in Å.
Space group Cmmm (No. 65)
Unique sites:
Nb 0.0000 0.0000 0.0000  8 Rh 2.76, 4 Nb 2.85-3.07
Nb 0.0000 0.1810 0.0000  8 Rh 2.74-2.81, 4 Nb 2.85-3.07
Nb 0.0000 0.3559 0.0000  6 Rh 2.83-2.93, 3 Nb 2.85-2.97, 4 Pt 2.90
Nb 0.2321 0.0000 0.0000  4 Rh 2.80, 4 Pt 2.82, 4 Nb 2.85-2.87
Nb 0.2413 0.1689 0.0000  4 Nb 2.77-2.87, 2 Pt 2.78, 6 Rh 2.83-2.90
Pt 0.1427 0.4188 0.5000  2 Rh 2.67-2.75, 3 Pt 2.76-2.85, 6 Nb 2.78-2.90
Rh 0.0000 0.5000 0.5000  4 Pt 2.67, 4 Nb 2.83, 2 Rh 2.85
Rh 0.1144 0.0877 0.5000  8 Nb 2.76-2.84, 4 Rh 2.85-2.98
Rh 0.1213 0.2579 0.5000  8 Nb 2.74-2.93, 1 Pt 2.75, 3 Rh 2.85-2.89

Output
The final energy comes out at -8.82 eV/atom.

=====

First-principles (PBE) data for a geometry-optimized DyPuNi10 structure, as listed in Alexandria via LeMat-Bulk.

Cell lengths 3.9565, 4.8763, 8.4625 Å; angles 90.00, 90.00, 90.00 degrees
Last column: nearest neighbours and their distance in Å.
Space group Pmmm (No. 47)
Unique sites:
Dy 0.0000 0.0000 0.0000  18 Ni 2.83-3.14
Pu 0.0000 0.5000 0.5000  6 Ni 2.80-2.81
Ni 0.0000 0.0000 0.3342  6 Ni 2.43
Ni 0.0000 0.5000 0.1689  6 Ni 2.42-2.44
Ni 0.5000 0.0000 0.5000  8 Ni 2.43-2.44
Ni 0.5000 0.2505 0.2500  8 Ni 2.42-2.44
Ni 0.5000 0.5000 0.0000  8 Ni 2.44

Output
The final energy comes out at -6.65 eV/atom.

=====

First-principles (PBE) data for a geometry-optimized LiAcAl2Hg4 structure, as listed in Alexandria via LeMat-Bulk.

Cell lengths 4.8401, 4.8401, 27.0551 Å; angles 90.00, 90.00, 120.00 degrees
Last column: nearest neighbours and their distance in Å.
Space group R-3m (No. 166, hexagonal axes)
Unique sites:
Li 0.0000 0.0000 0.0000  8 Hg 2.77-2.92
Ac 0.0000 0.0000 0.5000  8 Hg 3.29-3.65
Al 0.0000 0.0000 0.2560  7 Hg 2.88-3.05
Hg 0.0000 0.0000 0.1025  1 Li 2.77, 3 Al 2.88
Hg 0.0000 0.0000 0.3653  3 Li 2.92, 4 Al 2.96-3.05

Output
The final energy comes out at -2.09 eV/atom.

=====

First-principles (PBE) data for a geometry-optimized Rb3Tl4CuBr8 structure, as listed in Alexandria via LeMat-Bulk.

Cell lengths 16.6760, 9.4657, 9.4468 Å; angles 90.00, 123.75, 90.00 degrees
Last column: nearest neighbours and their distance in Å.
Space group C2/m (No. 12)
Unique sites:
Rb 0.0000 0.0000 0.0000  6 Br 3.45-3.50
Rb 0.2500 0.2500 0.0000  6 Br 3.38-3.57
Tl 0.0000 0.0000 0.5000  2 Br 3.14
Tl 0.0000 0.5000 0.5000  6 Br 3.38-3.44
Tl 0.2500 0.2500 0.5000  6 Br 3.31-3.50
Cu 0.0000 0.5000 0.0000  4 Br 2.66
Br 0.0029 0.3034 0.2043  1 Cu 2.66
Br 0.2267 0.0000 0.7222  3 Tl 3.14-3.33, 2 Rb 3.39
Br 0.2478 0.5000 0.7429  3 Tl 3.31-3.44, 3 Rb 3.38-3.50

Output
The final energy comes out at -2.92 eV/atom.

=====

First-principles (PBE) data for a geometry-optimized KBeP2 structure, as listed in Alexandria via LeMat-Bulk.

Cell lengths 3.0758, 3.0758, 25.3397 Å; angles 90.00, 90.00, 120.00 degrees
Last column: nearest neighbours and their distance in Å.
Space group R-3m (No. 166, hexagonal axes)
Unique sites:
K 0.0000 0.0000 0.0000  6 K 3.08, 6 P 3.19
Be 0.0000 0.0000 0.5000  6 P 2.37
P 0.0000 0.0000 0.2287  3 Be 2.37

Output
The final energy comes out at -3.62 eV/atom.

=====

First-principles (PBE) data for a geometry-optimized MnRu2Rh structure, as listed in Alexandria via LeMat-Bulk.

Cell lengths 5.2583, 5.2583, 11.0310 Å; angles 90.00, 90.00, 90.00 degrees
Last column: nearest neighbours and their distance in Å.
Space group I-42d (No. 122)
Unique sites:
Mn 0.0000 0.0000 0.0000  4 Ru 2.24
Ru 0.2223 0.2500 0.1250  2 Mn 2.24, 2 Rh 2.40
Rh 0.0000 0.0000 0.5000  4 Ru 2.40

Output
The final energy comes out at -7.65 eV/atom.

=====

> Which of these has the highest final energy?

LiAcAl2Hg4

=====

> Among the records above, which one has the highest final energy?

LiAcAl2Hg4